LiCa2Mg2Ga5: relaxed, PBE-GGA.

Output
Total energy, eV per formula unit: -26.6
Total moment, μB/cell: 0.0
Calculated formation energy, eV per formula unit: -2.37
Density of states at the Fermi level, states/eV/f.u.: 3.56

a = 3.9480 Å, b = 10.3773 Å, c = 10.3773 Å
α = 90.00°, β = 90.00°, γ = 90.00°
Closest atoms and distances in Å follow each position.
Fractional positions:
1 Li 0.0000 0.0000 0.0000  8 Ga 2.81
2 Li 0.0000 0.5000 0.5000  8 Ga 2.81
3 Ca 0.0000 0.6746 0.1746  3 Mg 2.95-3.15, 2 Ga 3.23
4 Ca 0.0000 0.3254 0.8254  3 Mg 2.95-3.15, 2 Ga 3.23
5 Ca 0.0000 0.1746 0.3254  3 Mg 2.95-3.15, 2 Ga 3.23
6 Ca 0.0000 0.8254 0.6746  3 Mg 2.95-3.15, 2 Ga 3.23
7 Mg 0.0000 0.1247 0.6247  6 Ga 2.69-2.89, 1 Ca 2.95
8 Mg 0.0000 0.8753 0.3753  6 Ga 2.69-2.89, 1 Ca 2.95
9 Mg 0.0000 0.6247 0.8753  6 Ga 2.69-2.89, 1 Ca 2.95
10 Mg 0.0000 0.3753 0.1247  6 Ga 2.69-2.89, 1 Ca 2.95
11 Ga 0.5000 0.1852 0.0537  2 Li 2.81, 2 Ga 2.83, 2 Mg 2.89
12 Ga 0.5000 0.8148 0.9463  2 Li 2.81, 2 Ga 2.83, 2 Mg 2.89
13 Ga 0.5000 0.0537 0.8148  2 Li 2.81, 2 Ga 2.83, 2 Mg 2.89
14 Ga 0.5000 0.6852 0.4463  2 Li 2.81, 2 Ga 2.83, 2 Mg 2.89
15 Ga 0.5000 0.9463 0.1852  2 Li 2.81, 2 Ga 2.83, 2 Mg 2.89
16 Ga 0.5000 0.3148 0.5537  2 Li 2.81, 2 Ga 2.83, 2 Mg 2.89
17 Ga 0.5000 0.5537 0.6852  2 Li 2.81, 2 Ga 2.83, 2 Mg 2.89
18 Ga 0.5000 0.4463 0.3148  2 Li 2.81, 2 Ga 2.83, 2 Mg 2.89
19 Ga 0.5000 0.5000 0.0000  4 Mg 2.69
20 Ga 0.5000 0.0000 0.5000  4 Mg 2.69